A relaxed structure of Pm4ZnAg, computed with PBE.

```
Pm4ZnAg
1.0
3.680 0.000 0.000
0.000 3.680 0.000
0.000 0.000 12.665
Pm Zn Ag
4 1 1
Cartesian
0.000 0.000 1.805
0.000 0.000 10.861
1.840 1.840 4.425
1.840 1.840 8.240
1.840 1.840 0.000
0.000 0.000 6.333
```

E: -4.03 eV/atom
calculated formation energy: -174 meV/atom
energy above the most stable polymorph in this dataset: 0.000 eV/atom
space-group type: P4/mmm, No. 123
total moment: 0.8 μB/f.u.

A relaxed structure of YZrFeOs, computed with PBE.

```
YZrFeOs
1.0
6.615 0.000 0.000
0.000 6.615 0.000
0.000 0.000 6.615
Y Zr Fe Os
4 4 4 4
Cartesian
0.000 0.000 0.000
0.000 3.308 3.308
3.308 0.000 3.308
3.308 3.308 0.000
0.000 0.000 3.308
0.000 3.308 0.000
3.308 0.000 0.000
3.308 3.308 3.308
1.654 1.654 4.961
1.654 4.961 1.654
4.961 1.654 1.654
4.961 4.961 4.961
1.654 1.654 1.654
1.654 4.961 4.961
4.961 1.654 4.961
4.961 4.961 1.654
```

E: -8.78 eV/atom
calculated formation energy: -107 meV/atom
space-group type: F-43m, No. 216
total moment: 0.2 μB/f.u.